(1)
HfTeN2O: optimized geometry, PBE.

ΔE_f (raw) = 1.173 eV/atom

The structure in CIF format:
```
data_HfTeN2O
_chemical_formula_sum 'Hf1 Te1 N2 O1'
_cell_length_a 4.0897
_cell_length_b 4.0897
_cell_length_c 4.0121
_cell_angle_alpha 90.00
_cell_angle_beta 90.00
_cell_angle_gamma 90.00
_symmetry_space_group_name_H-M 'P 4/m m m'
_symmetry_Int_Tables_number 123
_symmetry_space_group_name_Hall '-P 4 2'
loop_
_atom_site_label
_atom_site_type_symbol
_atom_site_fract_x
_atom_site_fract_y
_atom_site_fract_z
Hf1 Hf 0.0000 0.0000 0.0000
Te1 Te 0.5000 0.5000 0.0000
N1 N 0.0000 0.5000 0.5000
O1 O 0.5000 0.5000 0.5000
```


(2)
HfTiNO2: optimized geometry, PBE.

ΔE_f (raw) = -1.727 eV/atom

The structure in CIF format:
```
data_HfTiNO2
_chemical_formula_sum 'Hf1 Ti1 N1 O2'
_cell_length_a 3.7236
_cell_length_b 3.7236
_cell_length_c 4.0756
_cell_angle_alpha 90.00
_cell_angle_beta 90.00
_cell_angle_gamma 90.00
_symmetry_space_group_name_H-M 'P 4/m m m'
_symmetry_Int_Tables_number 123
_symmetry_space_group_name_Hall '-P 4 2'
loop_
_atom_site_label
_atom_site_type_symbol
_atom_site_fract_x
_atom_site_fract_y
_atom_site_fract_z
Hf1 Hf 0.0000 0.0000 0.0000
Ti1 Ti 0.5000 0.5000 0.5000
N1 N 0.5000 0.5000 0.0000
O1 O 0.0000 0.5000 0.5000
```


(3)
HfTiNO2: optimized geometry, PBE.

ΔE_f (raw) = -1.498 eV/atom

The structure in CIF format:
```
data_HfTiNO2
_chemical_formula_sum 'Hf1 Ti1 N1 O2'
_cell_length_a 3.9901
_cell_length_b 3.9901
_cell_length_c 4.2536
_cell_angle_alpha 90.00
_cell_angle_beta 90.00
_cell_angle_gamma 90.00
_symmetry_space_group_name_H-M 'P 4/m m m'
_symmetry_Int_Tables_number 123
_symmetry_space_group_name_Hall '-P 4 2'
loop_
_atom_site_label
_atom_site_type_symbol
_atom_site_fract_x
_atom_site_fract_y
_atom_site_fract_z
Hf1 Hf 0.0000 0.0000 0.0000
Ti1 Ti 0.5000 0.5000 0.5000
N1 N 0.0000 0.0000 0.5000
O1 O 0.0000 0.5000 0.0000
```


Question: What is the ΔE_f (raw) in the first record?
Answer: 1.173 eV/atom